Record 1
Compound: BaTbCu2Te4
Source: the Alexandria database
Functional: GGA-PBE
Structure: relaxed

Values from the calculation:
Calculated total energy ... -4.126 eV/atom

```
data_BaTbCu2Te4
_cell_length_a 7.022
_cell_length_b 8.266
_cell_length_c 8.941
_cell_angle_alpha 90.00
_cell_angle_beta 90.00
_cell_angle_gamma 90.00
_symmetry_space_group_name_H-M 'I 2 2 2'
_symmetry_Int_Tables_number 23
_symmetry_space_group_name_Hall 'I 2 2'
loop_
_atom_site_label
_atom_site_fract_x
_atom_site_fract_y
_atom_site_fract_z
Ba1 0.000 0.000 0.000
Tb1 0.000 0.000 0.500
Cu1 0.000 0.500 0.143
Te1 0.240 0.207 0.300
```



Record 2
Compound: BaTbCuTe3
Source: the Alexandria database
Functional: GGA-PBE
Structure: relaxed

Values from the calculation:
Calculated total energy ... -4.577 eV/atom

```
data_BaTbCuTe3
_cell_length_a 9.444
_cell_length_b 4.441
_cell_length_c 9.908
_cell_angle_alpha 90.00
_cell_angle_beta 105.20
_cell_angle_gamma 90.00
_symmetry_space_group_name_H-M 'P 1 21/m 1'
_symmetry_Int_Tables_number 11
_symmetry_space_group_name_Hall '-P 2yb'
loop_
_atom_site_label
_atom_site_fract_x
_atom_site_fract_y
_atom_site_fract_z
Ba1 0.190 0.250 0.247
Tb1 0.325 0.750 0.841
Cu1 0.077 0.250 0.583
Te1 0.106 0.250 0.863
Te2 0.215 0.750 0.524
Te3 0.448 0.750 0.168
```



Record 3
Compound: BaCu2Tc
Source: the Alexandria database
Functional: GGA-PBE
Structure: relaxed

Values from the calculation:
DFT formation energy ... 365.3 meV/atom
Offset from the most stable computed form ... 0.047 eV/f.u.

```
data_BaCu2Tc
_cell_length_a 4.3236
_cell_length_b 4.3236
_cell_length_c 17.0968
_cell_angle_alpha 90.00
_cell_angle_beta 90.00
_cell_angle_gamma 120.00
_symmetry_space_group_name_H-M 'R 3 m'
_symmetry_Int_Tables_number 160
_symmetry_space_group_name_Hall 'R 3 -2"'
loop_
_atom_site_label
_atom_site_fract_x
_atom_site_fract_y
_atom_site_fract_z
Ba1 0.0000 0.0000 0.0000
Cu1 0.0000 0.0000 0.1835
Cu2 0.0000 0.0000 0.4988
Tc1 0.0000 0.0000 0.8164
```



Record 4
Compound: BaCu2Tc
Source: the Alexandria database
Functional: GGA-PBE
Structure: relaxed

Values from the calculation:
DFT formation energy ... 698.4 meV/atom
Offset from the most stable computed form ... 1.380 eV/f.u.

```
data_BaCu2Tc
_cell_length_a 4.896
_cell_length_b 4.896
_cell_length_c 17.322
_cell_angle_alpha 90.00
_cell_angle_beta 90.00
_cell_angle_gamma 90.00
_symmetry_space_group_name_H-M 'I 41/a m d'
_symmetry_Int_Tables_number 141
loop_
_symmetry_equiv_pos_as_xyz
'x,y,z'
'-x,-y,-z'
'-y+1/4,x+3/4,z+1/4'
'y+1/4,-x+3/4,-z+1/4'
'-x+1/2,-y,z+1/2'
'x+1/2,y,-z+1/2'
'y+1/4,-x+1/4,z+3/4'
'-y+1/4,x+1/4,-z+3/4'
'x,-y,-z'
'-x,y,z'
'-y+1/4,-x+1/4,-z+3/4'
'y+1/4,x+1/4,z+3/4'
'-x+1/2,y,-z+1/2'
'x+1/2,-y,z+1/2'
'y+1/4,x+3/4,-z+1/4'
'-y+1/4,-x+3/4,z+1/4'
'x+1/2,y+1/2,z+1/2'
'-x+1/2,-y+1/2,-z+1/2'
'-y+3/4,x+1/4,z+3/4'
'y+3/4,-x+1/4,-z+3/4'
'-x,-y+1/2,z'
'x,y+1/2,-z'
'y+3/4,-x+3/4,z+1/4'
'-y+3/4,x+3/4,-z+1/4'
'x+1/2,-y+1/2,-z+1/2'
'-x+1/2,y+1/2,z+1/2'
'-y+3/4,-x+3/4,-z+1/4'
'y+3/4,x+3/4,z+1/4'
'-x,y+1/2,-z'
'x,-y+1/2,z'
'y+3/4,x+1/4,-z+3/4'
'-y+3/4,-x+1/4,z+3/4'
loop_
_atom_site_label
_atom_site_fract_x
_atom_site_fract_y
_atom_site_fract_z
Ba1 0.000 0.250 0.375
Cu1 0.000 0.000 0.000
Tc1 0.000 0.250 0.875
```



Record 5
Compound: BaCuTc2
Source: the Alexandria database
Functional: GGA-PBE
Structure: relaxed

Values from the calculation:
DFT formation energy ... 1118.0 meV/atom
Offset from the most stable computed form ... 3.026 eV/f.u.

```
data_BaCuTc2
_cell_length_a 3.191
_cell_length_b 4.624
_cell_length_c 5.213
_cell_angle_alpha 90.00
_cell_angle_beta 90.00
_cell_angle_gamma 90.00
_symmetry_space_group_name_H-M 'P m m m'
_symmetry_Int_Tables_number 47
_symmetry_space_group_name_Hall '-P 2 2'
loop_
_atom_site_label
_atom_site_fract_x
_atom_site_fract_y
_atom_site_fract_z
Ba1 0.000 0.000 0.000
Cu1 0.500 0.500 0.000
Tc1 0.000 0.500 0.500
Tc2 0.500 0.000 0.500
```



Record 6
Compound: BaCu2Tc
Source: the Alexandria database
Functional: GGA-PBE
Structure: relaxed

Values from the calculation:
DFT formation energy ... 827.9 meV/atom
Offset from the most stable computed form ... 1.898 eV/f.u.

```
data_BaCu2Tc
_cell_length_a 4.963
_cell_length_b 4.963
_cell_length_c 3.087
_cell_angle_alpha 90.00
_cell_angle_beta 90.00
_cell_angle_gamma 90.00
_symmetry_space_group_name_H-M 'P 4/m m m'
_symmetry_Int_Tables_number 123
_symmetry_space_group_name_Hall '-P 4 2'
loop_
_atom_site_label
_atom_site_fract_x
_atom_site_fract_y
_atom_site_fract_z
Ba1 0.000 0.000 0.000
Cu1 0.000 0.500 0.500
Tc1 0.500 0.500 0.000
```



Record 7
Compound: BaCuTc2
Source: the Alexandria database
Functional: GGA-PBE
Structure: relaxed

Values from the calculation:
DFT formation energy ... 764.3 meV/atom
Offset from the most stable computed form ... 1.612 eV/f.u.

```
data_BaCuTc2
_cell_length_a 3.381
_cell_length_b 3.381
_cell_length_c 7.401
_cell_angle_alpha 90.00
_cell_angle_beta 90.00
_cell_angle_gamma 90.00
_symmetry_space_group_name_H-M 'P 4/m m m'
_symmetry_Int_Tables_number 123
_symmetry_space_group_name_Hall '-P 4 2'
loop_
_atom_site_label
_atom_site_fract_x
_atom_site_fract_y
_atom_site_fract_z
Ba1 0.000 0.000 0.000
Cu1 0.000 0.000 0.500
Tc1 0.500 0.500 0.351
```



Record 8
Compound: BaCuTc2
Source: the Alexandria database
Functional: GGA-PBE
Structure: relaxed

Values from the calculation:
DFT formation energy ... 1099.7 meV/atom
Offset from the most stable computed form ... 2.954 eV/f.u.

```
data_BaCuTc2
_cell_length_a 5.421
_cell_length_b 10.562
_cell_length_c 3.231
_cell_angle_alpha 90.00
_cell_angle_beta 123.31
_cell_angle_gamma 90.00
_symmetry_space_group_name_H-M 'C 1 2/m 1'
_symmetry_Int_Tables_number 12
_symmetry_space_group_name_Hall '-C 2y'
loop_
_atom_site_label
_atom_site_fract_x
_atom_site_fract_y
_atom_site_fract_z
Ba1 0.000 0.000 0.000
Cu1 0.000 0.500 0.000
Tc1 0.250 0.250 0.500
```



Record 9
Compound: BaCu2Tc
Source: the Alexandria database
Functional: GGA-PBE
Structure: relaxed

Values from the calculation:
DFT formation energy ... 541.8 meV/atom
Offset from the most stable computed form ... 0.754 eV/f.u.

```
data_BaCu2Tc
_cell_length_a 3.312
_cell_length_b 3.312
_cell_length_c 7.172
_cell_angle_alpha 90.00
_cell_angle_beta 90.00
_cell_angle_gamma 90.00
_symmetry_space_group_name_H-M 'P 4/m m m'
_symmetry_Int_Tables_number 123
_symmetry_space_group_name_Hall '-P 4 2'
loop_
_atom_site_label
_atom_site_fract_x
_atom_site_fract_y
_atom_site_fract_z
Ba1 0.000 0.000 0.000
Cu1 0.500 0.500 0.330
Tc1 0.000 0.000 0.500
```



Record 10
Compound: BaCu2Tc
Source: the Alexandria database
Functional: GGA-PBE
Structure: relaxed

Values from the calculation:
DFT formation energy ... 881.8 meV/atom
Offset from the most stable computed form ... 2.113 eV/f.u.

```
data_BaCu2Tc
_cell_length_a 3.187
_cell_length_b 4.992
_cell_length_c 9.994
_cell_angle_alpha 90.00
_cell_angle_beta 90.00
_cell_angle_gamma 90.00
_symmetry_space_group_name_H-M 'I m m m'
_symmetry_Int_Tables_number 71
_symmetry_space_group_name_Hall '-I 2 2'
loop_
_atom_site_label
_atom_site_fract_x
_atom_site_fract_y
_atom_site_fract_z
Ba1 0.000 0.000 0.000
Cu1 0.000 0.500 0.211
Tc1 0.000 0.000 0.500
```



Record 11
Compound: BaCuTc2
Source: the Alexandria database
Functional: GGA-PBE
Structure: relaxed

Values from the calculation:
DFT formation energy ... 1254.1 meV/atom
Offset from the most stable computed form ... 3.571 eV/f.u.

```
data_BaCuTc2
_cell_length_a 5.391
_cell_length_b 10.342
_cell_length_c 2.805
_cell_angle_alpha 90.00
_cell_angle_beta 90.00
_cell_angle_gamma 90.00
_symmetry_space_group_name_H-M 'C m m m'
_symmetry_Int_Tables_number 65
_symmetry_space_group_name_Hall '-C 2 2'
loop_
_atom_site_label
_atom_site_fract_x
_atom_site_fract_y
_atom_site_fract_z
Ba1 0.000 0.000 0.000
Cu1 0.000 0.500 0.000
Tc1 0.250 0.250 0.500
```



Record 12
Compound: BaCuTc2
Source: the Alexandria database
Functional: GGA-PBE
Structure: relaxed

Values from the calculation:
DFT formation energy ... 483.9 meV/atom
Offset from the most stable computed form ... 0.490 eV/f.u.

```
data_BaCuTc2
_cell_length_a 7.565
_cell_length_b 4.373
_cell_length_c 6.403
_cell_angle_alpha 90.00
_cell_angle_beta 113.37
_cell_angle_gamma 90.00
_symmetry_space_group_name_H-M 'C 1 2/m 1'
_symmetry_Int_Tables_number 12
_symmetry_space_group_name_Hall '-C 2y'
loop_
_atom_site_label
_atom_site_fract_x
_atom_site_fract_y
_atom_site_fract_z
Ba1 0.000 0.000 0.000
Cu1 0.000 0.500 0.500
Tc1 0.182 0.000 0.545
```



Record 13
Compound: BaCuTc2
Source: the Alexandria database
Functional: GGA-PBE
Structure: relaxed

Values from the calculation:
DFT formation energy ... 1206.5 meV/atom
Offset from the most stable computed form ... 3.380 eV/f.u.

```
data_BaCuTc2
_cell_length_a 3.928
_cell_length_b 3.928
_cell_length_c 5.145
_cell_angle_alpha 90.00
_cell_angle_beta 90.00
_cell_angle_gamma 90.00
_symmetry_space_group_name_H-M 'P 4/m m m'
_symmetry_Int_Tables_number 123
_symmetry_space_group_name_Hall '-P 4 2'
loop_
_atom_site_label
_atom_site_fract_x
_atom_site_fract_y
_atom_site_fract_z
Ba1 0.000 0.000 0.000
Cu1 0.500 0.500 0.000
Tc1 0.000 0.500 0.500
```



Record 14
Compound: BaCu2Tc
Source: the Alexandria database
Functional: GGA-PBE
Structure: relaxed

Values from the calculation:
DFT formation energy ... 897.7 meV/atom
Offset from the most stable computed form ... 2.177 eV/f.u.

```
data_BaCu2Tc
_cell_length_a 6.957
_cell_length_b 6.957
_cell_length_c 6.957
_cell_angle_alpha 90.00
_cell_angle_beta 90.00
_cell_angle_gamma 90.00
_symmetry_space_group_name_H-M 'F m -3 m'
_symmetry_Int_Tables_number 225
_symmetry_space_group_name_Hall '-F 4 2 3'
loop_
_atom_site_label
_atom_site_fract_x
_atom_site_fract_y
_atom_site_fract_z
Ba1 0.000 0.000 0.000
Cu1 0.250 0.250 0.250
Tc1 0.000 0.000 0.500
```



| no. | size of the total moment (μB/cell) |
| --- | --- |
| 1 | 0.00 |
| 2 | 0.00 |
| 3 | 2.88 |
| 4 | 11.07 |
| 5 | 0.15 |
| 6 | 0.40 |
| 7 | 0.00 |
| 8 | 0.00 |
| 9 | 1.25 |
| 10 | 0.00 |
| 11 | 0.00 |
| 12 | 0.00 |
| 13 | 0.00 |
| 14 | 10.03 |